Record 1
Tc2RuW, optimized geometry, DFT PBEsol; DFT formation energy = 0.253 eV per atom; distance to the lowest polymorph of the same formula = 0.73 eV/f.u.; density = 13890 kg/m3; calculated total energy = -45.50 eV/cell; SG = P4/mmm, No. 123; total moment = 0.00 μB per cell
1.0
4.363 0.000 0.000
0.000 4.363 0.000
0.000 0.000 3.021
Tc Ru W
2 1 1
direct
0.000 0.500 0.000
0.500 0.000 0.000
0.000 0.000 0.500
0.500 0.500 0.500

=====

Record 2
TcRuW2, optimized geometry, DFT PBEsol; DFT formation energy = 0.148 eV per atom; distance to the lowest polymorph of the same formula = 0.00 eV/f.u.; density = 15954 kg/m3; calculated total energy = -48.46 eV/cell; SG = I4/mmm, No. 139; total moment = 0.00 μB per cell
1.0
-1.967 1.967 3.813
1.967 -1.967 3.813
1.967 1.967 -3.813
Tc Ru W
1 1 2
direct
0.000 0.000 0.000
0.500 0.500 0.000
0.250 0.750 0.500
0.750 0.250 0.500

=====

Record 3
Tc2RuW, optimized geometry, DFT PBEsol; DFT formation energy = 0.092 eV per atom; distance to the lowest polymorph of the same formula = 0.09 eV/f.u.; density = 13959 kg/m3; calculated total energy = -46.14 eV/cell; SG = C2/m, No. 12; total moment = 0.00 μB per cell
1.0
4.517 -1.362 0.000
4.517 1.362 0.000
-0.805 0.000 4.648
Tc Ru W
2 1 1
direct
0.244 0.244 0.238
0.756 0.756 0.762
0.500 0.500 0.000
0.000 0.000 0.500

=====

Record 4
YTc2Ru, optimized geometry, DFT PBEsol; DFT formation energy = 0.399 eV per atom; density = 9795 kg/m3; calculated total energy = -37.93 eV/cell; SG = I4/mmm, No. 139; total moment = 0.00 μB per cell
1.0
-1.902 1.902 4.522
1.902 -1.902 4.522
1.902 1.902 -4.522
Y Tc Ru
1 2 1
direct
0.000 0.000 0.000
0.250 0.750 0.500
0.750 0.250 0.500
0.500 0.500 0.000

=====

Record 5
Zn2TcRu, optimized geometry, DFT PBEsol; DFT formation energy = -0.073 eV per atom; distance to the lowest polymorph of the same formula = 0.00 eV/f.u.; density = 10114 kg/m3; calculated total energy = -24.89 eV/cell; SG = P4mm, No. 99; total moment = 0.00 μB per cell
1.0
2.819 0.000 0.000
0.000 2.819 0.000
0.000 0.000 6.815
Zn Tc Ru
2 1 1
direct
0.000 0.000 0.000
0.500 0.500 0.248
0.500 0.500 0.737
0.000 0.000 0.502

=====

Record 6
Zn2TcRu, optimized geometry, DFT PBEsol; DFT formation energy = 0.238 eV per atom; distance to the lowest polymorph of the same formula = 1.24 eV/f.u.; density = 10082 kg/m3; calculated total energy = -23.65 eV/cell; SG = Cmmm, No. 65; total moment = 0.00 μB per cell
1.0
2.523 -3.966 0.000
2.523 3.966 0.000
0.000 0.000 2.715
Zn Tc Ru
2 1 1
direct
0.000 0.500 0.000
0.500 0.000 0.000
0.000 0.000 0.500
0.500 0.500 0.500

=====

Record 7
ZnTc2Ru, optimized geometry, DFT PBEsol; DFT formation energy = 0.284 eV per atom; density = 10837 kg/m3; calculated total energy = -33.15 eV/cell; SG = Cmmm, No. 65; total moment = 0.00 μB per cell
1.0
1.402 -2.223 0.000
1.402 2.223 0.000
0.000 0.000 8.913
Zn Tc Ru
1 2 1
direct
0.000 0.000 0.000
0.500 0.500 0.253
0.500 0.500 0.747
0.000 0.000 0.500

=====

Record 8
Zn2TcRu, optimized geometry, DFT PBEsol; DFT formation energy = 0.185 eV per atom; distance to the lowest polymorph of the same formula = 1.03 eV/f.u.; density = 10028 kg/m3; calculated total energy = -23.86 eV/cell; SG = Immm, No. 71; total moment = 0.00 μB per cell
1.0
-1.422 2.207 4.351
1.422 -2.207 4.351
1.422 2.207 -4.351
Zn Tc Ru
2 1 1
direct
0.247 0.247 0.000
0.753 0.753 0.000
0.500 0.000 0.500
0.000 0.500 0.500

=====

Record 9
ZnTcRu2, optimized geometry, DFT PBEsol; DFT formation energy = 0.135 eV per atom; density = 11221 kg/m3; calculated total energy = -32.65 eV/cell; SG = Cm, No. 8; total moment = 0.00 μB per cell
1.0
4.478 -1.348 0.000
4.478 1.348 0.000
-0.853 0.000 4.479
Zn Tc Ru
1 1 2
direct
0.000 0.000 0.000
0.760 0.760 0.288
0.246 0.246 0.784
0.509 0.509 0.497

=====

Record 10
Zn2TcRu, optimized geometry, DFT PBEsol; DFT formation energy = 0.079 eV per atom; distance to the lowest polymorph of the same formula = 0.61 eV/f.u.; density = 10211 kg/m3; calculated total energy = -24.29 eV/cell; SG = I-4m2, No. 119; total moment = 0.00 μB per cell
1.0
-2.003 2.003 3.342
2.003 -2.003 3.342
2.003 2.003 -3.342
Zn Tc Ru
2 1 1
direct
0.000 0.000 0.000
0.750 0.250 0.500
0.250 0.750 0.500
0.500 0.500 0.000

=====

Record 11
Zn2TcRu, optimized geometry, DFT PBEsol; DFT formation energy = 0.189 eV per atom; distance to the lowest polymorph of the same formula = 1.05 eV/f.u.; density = 10056 kg/m3; calculated total energy = -23.85 eV/cell; SG = Cmmm, No. 65; total moment = 0.07 μB per cell
1.0
1.478 -2.153 0.000
1.478 2.153 0.000
0.000 0.000 8.556
Zn Tc Ru
2 1 1
direct
0.000 0.000 0.247
0.000 0.000 0.753
0.500 0.500 0.500
0.500 0.500 0.000

=====

Record 12
ZnTc2Ru, optimized geometry, DFT PBEsol; DFT formation energy = 0.080 eV per atom; density = 10959 kg/m3; calculated total energy = -33.97 eV/cell; SG = R-3m, No. 166; total moment = 0.00 μB per cell
1.0
1.345 0.777 8.761
-1.345 0.777 8.761
0.000 -1.553 8.761
Zn Tc Ru
1 2 1
direct
0.000 0.000 0.000
0.248 0.248 0.248
0.752 0.752 0.752
0.500 0.500 0.500